No. 1
First-principles (PBE) data for crystalline KSrTl2Br8 at its relaxed geometry, as listed in Alexandria.

Unit cell a=7.3632 b=7.3632 c=10.5089 alpha=90.00 beta=90.00 gamma=120.00
Space group P-3 (No. 147)
Asymmetric unit:
K1 0.0000 0.0000 0.0000
Sr1 0.0000 0.0000 0.5000
Tl1 0.3333 0.6667 0.7572
Br1 0.0284 0.6959 0.3127
Br2 0.3333 0.6667 0.0107

Properties
The calculation puts the uncorrected formation energy at -1035 meV per atom. The total energy is -2.776 eV per atom. The crystal system is trigonal.


No. 2
First-principles (PBE) data for crystalline K2SrTlBr6 at its relaxed geometry, as listed in Alexandria.

Unit cell a=7.883 b=8.369 c=13.756 alpha=90.00 beta=124.25 gamma=90.00
Space group P2_1/c (No. 14)
Asymmetric unit:
K1 0.217 0.083 0.248
Sr1 0.500 0.000 0.000
Tl1 0.000 0.000 0.500
Br1 0.122 0.195 0.934
Br2 0.242 0.695 0.933
Br3 0.379 0.048 0.748

Properties
The calculation puts the uncorrected formation energy at -1478 meV per atom. The total energy is -3.106 eV per atom. The crystal system is monoclinic.


No. 3
First-principles (PBE) data for crystalline KSrTmBr6 at its relaxed geometry, as listed in Alexandria.

Unit cell a=7.6547 b=7.6547 c=14.0663 alpha=90.00 beta=90.00 gamma=120.00
Space group P-31c (No. 163)
Asymmetric unit:
K1 0.0000 0.0000 0.0000
Sr1 0.3333 0.6667 0.2500
Tm1 0.3333 0.6667 0.7500
Br1 0.0285 0.3799 0.6352

Properties
The calculation puts the uncorrected formation energy at -1946 meV per atom. The total energy is -3.866 eV per atom. The crystal system is trigonal.